Gd2MgHg: optimized geometry, PBE.

```
Gd2MgHg
1.0
3.4442 0.0000 0.0000
1.7221 2.9828 0.0000
1.7221 0.9943 11.7028
Hg Gd Mg
1 2 1
Direct
0.0000 0.0000 0.0000
0.9092 0.9092 0.2725
0.0908 0.0908 0.7275
0.5000 0.5000 0.5000
```

Values from the calculation:
- M_tot (Bohr magnetons per cell) = 14.86
- total DFT energy (no corrections) (Ry/atom) = -0.5433
- space group = R-3m (166)

Al6Ru: optimized geometry, PBE.

```
Al6Ru
1.0
-3.6468 -3.1766 1.2003
3.6342 -3.3718 -0.5039
2.0706 0.9254 8.7401
Ru Al
2 12
Direct
0.4640 0.4640 0.2500
0.5360 0.5360 0.7500
0.3193 0.6807 0.0000
0.6807 0.3193 0.5000
0.1418 0.1418 0.0991
0.9780 0.6180 0.2500
0.8582 0.8582 0.9009
0.0220 0.3820 0.7500
0.1418 0.1418 0.4009
0.3193 0.6807 0.5000
0.3820 0.0220 0.7500
0.6807 0.3193 0.0000
0.6180 0.9780 0.2500
0.8582 0.8582 0.5991
```

Values from the calculation:
- M_tot (Bohr magnetons per cell) = 0.00
- total DFT energy (no corrections) (Ry/atom) = -0.3576
- space group = Cmcm (63)